Entry 1
Below is crystalline NdDyNi at its relaxed geometry, with properties calculated at the PBE level.

Output
The calculation puts the size of the total moment at 0.0 μB per formula unit.

Cell lengths 3.4613, 3.4613, 6.7706 Å; angles 104.81, 104.81, 90.00 degrees
Last column: nearest neighbours and their distance in Å.
Fractional positions:
Nd (0.0315, 0.0315, 0.0629)  4 Ni 3.05, 1 Dy 3.31
Dy (0.2936, 0.2936, 0.5871)  4 Ni 2.87
Ni (0.6750, 0.6750, 0.3499)  4 Dy 2.87, 4 Nd 3.05

***

Entry 2
Below is crystalline NdDyNi at its relaxed geometry, with properties calculated at the PBE level.

Output
The calculation puts the size of the total moment at 0.0 μB per formula unit.

Cell lengths 4.8241, 4.8241, 4.8241 Å; angles 60.00, 60.00, 60.00 degrees
Last column: nearest neighbours and their distance in Å.
Fractional positions:
Ni (0.2500, 0.2500, 0.2500)  4 Dy 2.95, 4 Nd 2.95
Dy (0.5000, 0.5000, 0.5000)  4 Ni 2.95
Nd (0.0000, 0.0000, 0.0000)  4 Ni 2.95

***

Which is most stable? The ranking, best first, is entry 1, entry 2.

***

Entry 1
Below is crystalline NdDyNiPd at its relaxed geometry, with properties calculated at the PBE level.

Output
The calculation puts the size of the total moment at 0.0 μB per formula unit.

Cell lengths 3.8391, 4.4775, 5.5517 Å; angles 90.00, 110.23, 90.00 degrees
Last column: nearest neighbours and their distance in Å.
Fractional positions:
Pd (0.5762, 0.5000, 0.1524)  2 Ni 2.78, 3 Dy 2.93-3.00, 4 Nd 3.03
Nd (0.1418, 0.0000, 0.2835)  3 Ni 2.88-3.02, 4 Pd 3.03
Ni (0.4183, 0.0000, 0.8367)  2 Pd 2.78, 3 Nd 2.88-3.02, 4 Dy 3.00
Dy (0.8637, 0.5000, 0.7274)  3 Pd 2.93-3.00, 4 Ni 3.00

***

Entry 2
Below is crystalline NdDyNiPd at its relaxed geometry, with properties calculated at the PBE level.

Output
The calculation puts the size of the total moment at 0.0 μB per formula unit.

Cell lengths 4.9695, 4.9695, 4.9695 Å; angles 60.00, 60.00, 60.00 degrees
Last column: nearest neighbours and their distance in Å.
Fractional positions:
Pd (0.7500, 0.7500, 0.7500)  4 Dy 3.04, 4 Nd 3.04
Nd (0.0000, 0.0000, 0.0000)  4 Ni 3.04, 4 Pd 3.04
Ni (0.2500, 0.2500, 0.2500)  4 Dy 3.04, 4 Nd 3.04
Dy (0.5000, 0.5000, 0.5000)  4 Ni 3.04, 4 Pd 3.04

***

Which is most stable? The ranking, best first, is entry 1, entry 2.

***

Entry 1
Below is crystalline NdDyNiPt at its relaxed geometry, with properties calculated at the PBE level.

Output
The calculation puts the size of the total moment at 0.0 μB per formula unit.

Cell lengths 3.8954, 4.4422, 5.5205 Å; angles 90.00, 110.66, 90.00 degrees
Last column: nearest neighbours and their distance in Å.
Fractional positions:
Pt (0.5749, 0.5000, 0.1499)  2 Ni 2.74, 3 Dy 2.93-2.97, 4 Nd 3.04
Dy (0.8625, 0.5000, 0.7250)  3 Pt 2.93-2.97, 4 Ni 3.01
Nd (0.1426, 0.0000, 0.2851)  3 Ni 2.87-3.01, 4 Pt 3.04
Ni (0.4200, 0.0000, 0.8400)  2 Pt 2.74, 3 Nd 2.87-3.01, 4 Dy 3.01

***

Entry 2
Below is crystalline NdDyNiPt at its relaxed geometry, with properties calculated at the PBE level.

Output
The calculation puts the size of the total moment at 0.0 μB per formula unit.

Cell lengths 4.9599, 4.9599, 4.9599 Å; angles 60.00, 60.00, 60.00 degrees
Last column: nearest neighbours and their distance in Å.
Fractional positions:
Dy (0.5000, 0.5000, 0.5000)  4 Ni 3.04, 4 Pt 3.04
Ni (0.7500, 0.7500, 0.7500)  4 Nd 3.04, 4 Dy 3.04
Nd (0.0000, 0.0000, 0.0000)  4 Ni 3.04, 4 Pt 3.04
Pt (0.2500, 0.2500, 0.2500)  4 Dy 3.04, 4 Nd 3.04

***

Which is most stable? The ranking, best first, is entry 1, entry 2.